No. 1
The following is a PBE calculation of a relaxed KLiTb2Se4 crystal, from Alexandria via LeMat-Bulk.

a = 7.322 Å, b = 7.322 Å, c = 14.621 Å
α = 90.00°, β = 90.00°, γ = 146.64°
Element x y z (fractional)
K 0.109 0.891 0.750
K 0.891 0.109 0.250
Li 0.165 0.835 0.250
Li 0.835 0.165 0.750
Tb 0.366 0.634 0.562
Tb 0.366 0.634 0.938
Tb 0.634 0.366 0.062
Tb 0.634 0.366 0.438
Se 0.000 0.000 0.000
Se 0.000 0.000 0.500
Se 0.265 0.735 0.109
Se 0.265 0.735 0.391
Se 0.430 0.570 0.750
Se 0.570 0.430 0.250
Se 0.735 0.265 0.609
Se 0.735 0.265 0.891

Calculated total energy (eV/atom): -4.9896
Energy relative to the elements, uncorrected (eV/atom): -1.71
M_tot (μB/cell): 0.00


No. 2
The following is a PBE calculation of a relaxed GaAg2F5 crystal, from Alexandria via LeMat-Bulk.

a = 6.623 Å, b = 6.623 Å, c = 10.348 Å
α = 90.00°, β = 90.00°, γ = 145.18°
Element x y z (fractional)
Ga 0.159 0.841 0.750
Ga 0.841 0.159 0.250
Ag 0.128 0.872 0.104
Ag 0.128 0.872 0.396
Ag 0.872 0.128 0.604
Ag 0.872 0.128 0.896
F 0.055 0.945 0.619
F 0.055 0.945 0.881
F 0.267 0.733 0.619
F 0.267 0.733 0.881
F 0.332 0.668 0.250
F 0.668 0.332 0.750
F 0.733 0.267 0.119
F 0.733 0.267 0.381
F 0.945 0.055 0.119
F 0.945 0.055 0.381

E above lowest polymorph (eV/f.u.): 0.20
Calculated total energy (eV/atom): -4.0774
Energy relative to the elements, uncorrected (eV/atom): -1.82
M_tot (μB/cell): 0.00


No. 3
The following is a PBE calculation of a relaxed Pm6GeTe3 crystal, from Alexandria via LeMat-Bulk.

a = 12.388 Å, b = 4.191 Å, c = 12.707 Å
α = 90.00°, β = 104.79°, γ = 90.00°
Element x y z (fractional)
Pm 0.012 0.250 0.360
Pm 0.085 0.250 0.894
Pm 0.267 0.750 0.297
Pm 0.293 0.750 0.763
Pm 0.395 0.250 0.549
Pm 0.450 0.750 0.134
Pm 0.550 0.250 0.866
Pm 0.605 0.750 0.451
Pm 0.707 0.250 0.237
Pm 0.733 0.250 0.703
Pm 0.915 0.750 0.106
Pm 0.988 0.750 0.640
Ge 0.455 0.250 0.316
Ge 0.545 0.750 0.684
Te 0.109 0.250 0.149
Te 0.181 0.750 0.509
Te 0.342 0.250 0.954
Te 0.658 0.750 0.046
Te 0.819 0.250 0.491
Te 0.891 0.750 0.851

Calculated total energy (eV/atom): -5.2173
Energy relative to the elements, uncorrected (eV/atom): -0.96
M_tot (μB/cell): 0.82


No. 4
The following is a PBE calculation of a relaxed LaZrBr2 crystal, from Alexandria via LeMat-Bulk.

a = 6.066 Å, b = 6.066 Å, c = 6.066 Å
α = 146.41°, β = 118.87°, γ = 71.59°
Element x y z (fractional)
La 0.000 0.000 0.000
Zr 0.500 0.500 0.000
Br 0.275 0.775 0.500
Br 0.725 0.225 0.500

E above lowest polymorph (eV/f.u.): 0.94
Calculated total energy (eV/atom): -4.9143
Energy relative to the elements, uncorrected (eV/atom): -0.71
M_tot (μB/cell): 0.00